No. 1
Computed, not measured: crystalline CaBe2Tc2 at its relaxed geometry at the PBE level of DFT.

abc: 3.6630 3.6630 11.3020
angles: 90.00 90.00 90.00
Last column: nearest neighbours and their distance in Å.
Space group I4/mmm (No. 139)
Inequivalent atoms, fractional coordinates:
Ca1 0.0000 0.0000 0.0000 (multiplicity 2)  8 Be 2.84
Be1 0.0000 0.0000 0.3965 (multiplicity 4)  1 Be 2.34, 4 Tc 2.47
Tc1 0.0000 0.5000 0.2500 (multiplicity 4)  4 Be 2.47, 4 Tc 2.59

Results
ΔE_f in eV/atom: 0.124
Energy above the most stable polymorph in this dataset in meV per atom: 0
Energy in eV/atom: -5.914

No. 2
Computed, not measured: crystalline CaBe2Tc at its relaxed geometry at the PBE level of DFT.

abc: 4.3089 4.3089 15.8597
angles: 90.00 90.00 90.00
Last column: nearest neighbours and their distance in Å.
Space group I-42d (No. 122)
Inequivalent atoms, fractional coordinates:
Ca1 0.0000 0.0000 0.0000 (multiplicity 4)  4 Tc 3.05, 8 Be 3.10-3.14
Be1 0.0074 0.2500 0.6250 (multiplicity 8)  2 Be 2.16, 2 Tc 2.26
Tc1 0.0000 0.0000 0.5000 (multiplicity 4)  4 Be 2.26

Results
ΔE_f in eV/atom: 0.603
Energy above the most stable polymorph in this dataset in meV per atom: 502
Energy in eV/atom: -4.352